Arrangement P

VASP calculation (PBE-GGA) on Te2RhAu after structural relaxation.

space-group type: P4/mmm, No. 123
spin magnetization: 0.00 μB/cell
theoretical density: 10.92 g/cm3
crystal system: tetragonal

Cell lengths 3.331, 3.331, 7.606 Å; angles 90.00, 90.00, 90.00 degrees
Positions (direct):
Te  0.000  0.000  0.218
Te  0.000  0.000  0.782
Rh  0.500  0.500  0.000
Au  0.500  0.500  0.500

=====

Arrangement Q

VASP calculation (PBE-GGA) on Te2RhAu after structural relaxation.

space-group type: I-42d, No. 122
spin magnetization: 0.00 μB/cell
theoretical density: 8.10 g/cm3
crystal system: tetragonal

Cell lengths 7.373, 7.373, 7.373 Å; angles 130.31, 130.31, 72.91 degrees
Positions (direct):
Te  0.098  0.625  0.973
Te  0.375  0.348  0.473
Te  0.652  0.125  0.027
Te  0.875  0.902  0.527
Rh  0.000  0.000  0.000
Rh  0.750  0.250  0.500
Au  0.250  0.750  0.500
Au  0.500  0.500  0.000

=====

Arrangement R

VASP calculation (PBE-GGA) on Te2RhAu after structural relaxation.

space-group type: Fm-3m, No. 225
spin magnetization: 0.00 μB/cell
theoretical density: 11.02 g/cm3
crystal system: cubic

Cell lengths 4.909, 4.909, 4.909 Å; angles 60.00, 60.00, 60.00 degrees
Positions (direct):
Te  0.250  0.250  0.250
Te  0.750  0.750  0.750
Rh  0.000  0.000  0.000
Au  0.500  0.500  0.500

=====

arrangement Q ends up most stable, edging out the next structure by 15.0 kJ/mol of atoms.

=====

Arrangement P

VASP calculation (PBE-GGA) on Te4RhAu after structural relaxation.

space-group type: F-43m, No. 216
spin magnetization: 0.01 μB/cell
theoretical density: 8.22 g/cm3
crystal system: cubic

Cell lengths 6.139, 6.139, 6.139 Å; angles 60.00, 60.00, 60.00 degrees
Positions (direct):
Te  0.125  0.125  0.125
Te  0.125  0.125  0.625
Te  0.125  0.625  0.125
Te  0.625  0.125  0.125
Rh  0.500  0.500  0.500
Au  0.750  0.750  0.750

=====

Arrangement Q

VASP calculation (PBE-GGA) on Te4RhAu after structural relaxation.

space-group type: C2/m, No. 12
spin magnetization: 0.00 μB/cell
theoretical density: 8.53 g/cm3
crystal system: monoclinic

Cell lengths 6.717, 6.717, 7.341 Å; angles 122.77, 122.77, 35.36 degrees
Positions (direct):
Te  0.120  0.120  0.289
Te  0.353  0.353  0.145
Te  0.647  0.647  0.855
Te  0.880  0.880  0.711
Rh  0.500  0.500  0.000
Au  0.000  0.000  0.500

=====

Arrangement R

VASP calculation (PBE-GGA) on Te4RhAu after structural relaxation.

space-group type: P2_1/c, No. 14
spin magnetization: 0.00 μB/cell
theoretical density: 8.74 g/cm3
crystal system: monoclinic

Cell lengths 6.900, 6.688, 6.677 Å; angles 90.00, 92.23, 90.00 degrees
Positions (direct):
Te  0.108  0.137  0.139
Te  0.108  0.363  0.639
Te  0.360  0.614  0.117
Te  0.360  0.886  0.617
Te  0.640  0.114  0.383
Te  0.640  0.386  0.883
Te  0.892  0.637  0.361
Te  0.892  0.863  0.861
Rh  0.000  0.000  0.500
Rh  0.000  0.500  0.000
Au  0.500  0.000  0.000
Au  0.500  0.500  0.500

=====

arrangement Q ends up most stable, edging out the next structure by 4.2 kJ/mol of atoms.